VASP calculation (PBE-GGA) on a geometry-optimized VGa4Tc2 structure.

Calculated values
The value obtained for the density of states at the Fermi level is 10.67 states/eV/cell. Its formation energy is -15 meV/atom. For the total magnetization, the calculation gives 0.8 μB/cell.

a b c (Å): 5.886 6.269 6.532
angles (deg): 91.61 114.11 95.12
Atoms (fractional coordinates):
V1 0.000 0.000 0.000
V2 0.420 0.056 0.930
Ga1 0.046 0.267 0.734
Ga2 0.139 0.675 0.823
Ga3 0.329 0.767 0.267
Ga4 0.330 0.323 0.188
Ga5 0.589 0.200 0.652
Ga6 0.602 0.763 0.733
Ga7 0.733 0.787 0.183
Ga8 0.855 0.206 0.284
Tc1 0.162 0.934 0.541
Tc2 0.260 0.464 0.522
Tc3 0.740 0.530 0.465
Tc4 0.864 0.474 0.000

---

VASP calculation (PBE-GGA) on a geometry-optimized V2GaTc structure.

Calculated values
The value obtained for the density of states at the Fermi level is 17.03 states/eV/cell. Its formation energy is 350 meV/atom. For the total magnetization, the calculation gives 0.0 μB/cell.

a b c (Å): 6.938 6.938 5.148
angles (deg): 90.00 90.00 90.00
Atoms (fractional coordinates):
V1 0.217 0.250 0.125
V2 0.250 0.717 0.375
V3 0.250 0.783 0.875
V4 0.283 0.250 0.625
V5 0.717 0.750 0.625
V6 0.750 0.217 0.875
V7 0.750 0.283 0.375
V8 0.783 0.750 0.125
Ga1 0.000 0.000 0.500
Ga2 0.000 0.500 0.750
Ga3 0.500 0.000 0.250
Ga4 0.500 0.500 0.000
Tc1 0.000 0.000 0.000
Tc2 0.000 0.500 0.250
Tc3 0.500 0.000 0.750
Tc4 0.500 0.500 0.500

---

What did the first record say?
VASP calculation (PBE-GGA) on a geometry-optimized VGa4Tc2 structure.

Calculated values
The value obtained for the density of states at the Fermi level is 10.67 states/eV/cell. Its formation energy is -15 meV/atom. For the total magnetization, the calculation gives 0.8 μB/cell.

a b c (Å): 5.886 6.269 6.532
angles (deg): 91.61 114.11 95.12
Atoms (fractional coordinates):
V1 0.000 0.000 0.000
V2 0.420 0.056 0.930
Ga1 0.046 0.267 0.734
Ga2 0.139 0.675 0.823
Ga3 0.329 0.767 0.267
Ga4 0.330 0.323 0.188
Ga5 0.589 0.200 0.652
Ga6 0.602 0.763 0.733
Ga7 0.733 0.787 0.183
Ga8 0.855 0.206 0.284
Tc1 0.162 0.934 0.541
Tc2 0.260 0.464 0.522
Tc3 0.740 0.530 0.465
Tc4 0.864 0.474 0.000